First-principles (GGA+U) data for an optimized crystal structure of Zn2W2O5, as listed in Alexandria via LeMat-Bulk.

a = 5.0228 Å, b = 13.7335 Å, c = 3.4279 Å
α = 90.00°, β = 90.00°, γ = 90.00°
Space group Pbam (No. 55)
Inequivalent atoms, fractional coordinates:
1 Zn 0.1754 0.1820 0.0000 [4 per cell]
2 W 0.1663 0.4219 0.5000 [4 per cell]
3 O 0.0000 0.0000 0.5000 [2 per cell]
4 O 0.1429 0.6767 0.5000 [4 per cell]
5 O 0.2166 0.8526 0.0000 [4 per cell]

Summary:
Its electronic total energy is -0.2131 hartree per atom. As for the crystal system: orthorhombic.